[1]
Material: CrTeRh2
Method: DFT, GGA-PBE
State: optimized geometry

Summary:
For the uncorrected formation energy, the calculation gives 0.480 eV per atom. As for the volume: 349.5 Å³ per cell. The calculation puts the density of states at the Fermi level at 15.90 states/eV/cell.

```
data_CrTeRh2
_cell_length_a 5.5573
_cell_length_b 5.5573
_cell_length_c 11.3174
_cell_angle_alpha 90.00
_cell_angle_beta 90.00
_cell_angle_gamma 90.00
_space_group_name_H-M_alt 'I -4 2 d'
_space_group_IT_number 122
_space_group_name_Hall 'I -4 2bw'
loop_
_atom_site_label
_atom_site_type_symbol
_atom_site_fract_x
_atom_site_fract_y
_atom_site_fract_z
Cr1 Cr 0.0000 0.0000 0.0000
Te1 Te 0.0000 0.0000 0.5000
Rh1 Rh 0.2025 0.2500 0.1250
```

[2]
Material: Ca2MnRh
Method: DFT, GGA-PBE
State: optimized geometry

Summary:
The calculated formation energy comes out at 1.2 eV/f.u. As for the volume: 287.7 Å³ per cell. The calculation puts the density of states at the Fermi level at 8.59 states/eV/cell.

```
data_Ca2MnRh
_cell_length_a 3.4213
_cell_length_b 3.4213
_cell_length_c 28.3796
_cell_angle_alpha 90.00
_cell_angle_beta 90.00
_cell_angle_gamma 120.00
_space_group_name_H-M_alt 'R -3 m'
_space_group_IT_number 166
_space_group_name_Hall '-R 3 2"'
loop_
_atom_site_label
_atom_site_type_symbol
_atom_site_fract_x
_atom_site_fract_y
_atom_site_fract_z
Ca1 Ca 0.0000 0.0000 0.2381
Mn1 Mn 0.0000 0.0000 0.0000
Rh1 Rh 0.0000 0.0000 0.5000
```

[3]
Material: CsGaC
Method: DFT, GGA-PBE
State: optimized geometry

Summary:
The calculated formation energy comes out at 1.9 eV/f.u. As for the volume: 414.3 Å³ per cell. The calculation puts the density of states at the Fermi level at 0.00 states/eV/cell.

```
data_CsGaC
_cell_length_a 11.0421
_cell_length_b 5.8067
_cell_length_c 6.4610
_cell_angle_alpha 90.00
_cell_angle_beta 90.00
_cell_angle_gamma 90.00
_space_group_name_H-M_alt 'P n m a'
_space_group_IT_number 62
_space_group_name_Hall '-P 2ac 2n'
loop_
_atom_site_label
_atom_site_type_symbol
_atom_site_fract_x
_atom_site_fract_y
_atom_site_fract_z
Cs1 Cs 0.1561 0.2500 0.0258
Ga1 Ga 0.0000 0.0000 0.5000
C1 C 0.0563 0.7500 0.3463
```

[4]
Material: La3AlGe6Pd2
Method: DFT, GGA-PBE
State: optimized geometry

Summary:
The calculated formation energy comes out at -5.5 eV/f.u. As for the volume: 269.3 Å³ per cell. The calculation puts the density of states at the Fermi level at 5.15 states/eV/cell.

```
data_La3AlGe6Pd2
_cell_length_a 6.0600
_cell_length_b 6.0600
_cell_length_c 8.4682
_cell_angle_alpha 90.00
_cell_angle_beta 90.00
_cell_angle_gamma 120.00
_space_group_name_H-M_alt 'P -3 m 1'
_space_group_IT_number 164
_space_group_name_Hall '-P 3 2"'
loop_
_atom_site_label
_atom_site_type_symbol
_atom_site_fract_x
_atom_site_fract_y
_atom_site_fract_z
La1 La 0.0000 0.0000 0.0000
La2 La 0.3333 0.6667 0.6255
Al1 Al 0.0000 0.0000 0.5000
Ge1 Ge 0.1896 0.3791 0.2809
Pd1 Pd 0.3333 0.6667 0.0273
```

[5]
Material: AcY4Te6
Method: DFT, GGA-PBE
State: optimized geometry

Summary:
For the uncorrected formation energy, the calculation gives -1.432 eV per atom. As for the volume: 1413.4 Å³ per cell. The calculation puts the density of states at the Fermi level at 17.11 states/eV/cell.

```
data_AcY4Te6
_cell_length_a 4.3950
_cell_length_b 14.3365
_cell_length_c 22.4316
_cell_angle_alpha 90.00
_cell_angle_beta 90.00
_cell_angle_gamma 90.00
_space_group_name_H-M_alt 'C m c m'
_space_group_IT_number 63
_space_group_name_Hall '-C 2c 2'
loop_
_atom_site_label
_atom_site_type_symbol
_atom_site_fract_x
_atom_site_fract_y
_atom_site_fract_z
Ac1 Ac 0.0000 0.1557 0.2500
Y1 Y 0.0000 0.0936 0.6222
Y2 Y 0.0000 0.3553 0.5345
Te1 Te 0.0000 0.0000 0.0000
Te2 Te 0.0000 0.1722 0.7500
Te3 Te 0.0000 0.2633 0.0932
Te4 Te 0.0000 0.4531 0.6598
```

[6]
Material: LiSb2Pd6
Method: DFT, GGA-PBE
State: optimized geometry

Summary:
For the uncorrected formation energy, the calculation gives -0.356 eV per atom. As for the volume: 313.2 Å³ per cell. The calculation puts the density of states at the Fermi level at 8.60 states/eV/cell.

```
data_LiSb2Pd6
_cell_length_a 13.6485
_cell_length_b 5.6445
_cell_length_c 4.2795
_cell_angle_alpha 90.00
_cell_angle_beta 108.20
_cell_angle_gamma 90.00
_space_group_name_H-M_alt 'C 1 2/m 1'
_space_group_IT_number 12
_space_group_name_Hall '-C 2y'
loop_
_atom_site_label
_atom_site_type_symbol
_atom_site_fract_x
_atom_site_fract_y
_atom_site_fract_z
Li1 Li 0.0000 0.0000 0.0000
Sb1 Sb 0.1577 0.5000 0.1576
Pd1 Pd 0.1046 0.2398 0.6050
Pd2 Pd 0.2064 0.0000 0.2066
```